No. 1
Here is a geometry-optimized Cd2PtWI structure from Alexandria via LeMat-Bulk. Energies are from GGA-PBE.

Cell: 5.409 5.409 4.982 Å, 90.00 90.00 90.00°
Space group P4/mmm (No. 123)
Symmetry-distinct sites (fractional):
Cd  0.000  0.500  0.000
Pt  0.000  0.000  0.500
W  0.500  0.500  0.000
I  0.500  0.500  0.500

Values from the calculation:
E_tot   -3.019 eV/atom



No. 2
Here is a geometry-optimized PuCdI4 structure from Alexandria via LeMat-Bulk. Energies are from GGA-PBE.

Cell: 16.772 4.420 8.069 Å, 90.00 117.68 90.00°
Space group C2/m (No. 12)
Symmetry-distinct sites (fractional):
Pu  0.000  0.000  0.000
Cd  0.000  0.500  0.500
I  0.114  0.000  0.776
I  0.120  0.500  0.291

Values from the calculation:
E_tot   -4.372 eV/atom



No. 3
Here is a geometry-optimized PuCdI structure from Alexandria via LeMat-Bulk. Energies are from GGA-PBE.

Cell: 3.8471 3.8471 15.5093 Å, 90.00 90.00 120.00°
Space group P-6m2 (No. 187)
Symmetry-distinct sites (fractional):
Pu  0.0000  0.0000  0.0000
Pu  0.3333  0.6667  0.5000
Cd  0.0000  0.0000  0.3399
I  0.3333  0.6667  0.1446

Values from the calculation:
E_tot   -5.854 eV/atom



No. 4
Here is a geometry-optimized PuCd3I9 structure from Alexandria via LeMat-Bulk. Energies are from GGA-PBE.

Cell: 20.697 10.694 14.928 Å, 90.00 129.18 90.00°
Space group Cc (No. 9)
Symmetry-distinct sites (fractional):
Pu  0.000  0.227  0.000
Cd  0.137  0.429  0.830
Cd  0.272  0.071  0.788
Cd  0.364  0.382  0.674
I  0.001  0.071  0.178
I  0.002  0.310  0.799
I  0.100  0.472  0.124
I  0.137  0.025  0.068
I  0.196  0.355  0.472
I  0.262  0.241  0.926
I  0.353  0.127  0.457
I  0.355  0.438  0.306
I  0.404  0.151  0.791

Values from the calculation:
E_tot   -3.071 eV/atom



No. 5
Here is a geometry-optimized PuCd2I6 structure from Alexandria via LeMat-Bulk. Energies are from GGA-PBE.

Cell: 8.1134 8.1134 23.2296 Å, 90.00 90.00 120.00°
Space group R3 (No. 146, hexagonal axes)
Symmetry-distinct sites (fractional):
Pu  0.0000  0.0000  0.0000
Cd  0.0000  0.0000  0.6022
Cd  0.0000  0.0000  0.7319
I  0.0270  0.6698  0.7499
I  0.0293  0.3575  0.5828

Values from the calculation:
E_tot   -3.497 eV/atom



No. 6
Here is a geometry-optimized RbPu2CdI8 structure from Alexandria via LeMat-Bulk. Energies are from GGA-PBE.

Cell: 7.439 7.787 9.641 Å, 89.96 89.96 85.84°
Space group P-1 (No. 2)
Symmetry-distinct sites (fractional):
Rb  0.000  0.000  0.000
Pu  0.500  0.500  0.259
Cd  0.000  0.000  0.500
I  0.252  0.844  0.714
I  0.253  0.845  0.286
I  0.260  0.354  0.500
I  0.279  0.372  0.000

Values from the calculation:
E_tot   -4.564 eV/atom



No. 7
Here is a geometry-optimized PuTlCdI6 structure from Alexandria via LeMat-Bulk. Energies are from GGA-PBE.

Cell: 7.9268 7.9268 15.1871 Å, 90.00 90.00 120.00°
Space group P-31c (No. 163)
Symmetry-distinct sites (fractional):
Pu  0.3333  0.6667  0.2500
Tl  0.0000  0.0000  0.0000
Cd  0.3333  0.6667  0.7500
I  0.0073  0.3684  0.6347

Values from the calculation:
E_tot   -3.780 eV/atom



No. 8
Here is a geometry-optimized RbCdI3 structure from Alexandria via LeMat-Bulk. Energies are from GGA-PBE.

Cell: 5.801 9.321 9.326 Å, 73.96 88.86 88.86°
Space group P-1 (No. 2)
Symmetry-distinct sites (fractional):
Rb  0.233  0.216  0.216
Cd  0.000  0.323  0.676
I  0.247  0.604  0.603
I  0.249  0.667  0.069
I  0.250  0.069  0.667

Values from the calculation:
E_tot   -2.260 eV/atom



No. 9
Here is a geometry-optimized RbCdI structure from Alexandria via LeMat-Bulk. Energies are from GGA-PBE.

Cell: 8.972 5.212 12.041 Å, 90.00 104.51 90.00°
Space group Cm (No. 8)
Symmetry-distinct sites (fractional):
Rb  0.000  0.000  0.000
Rb  0.130  0.000  0.391
Cd  0.039  0.500  0.618
Cd  0.369  0.500  0.604
I  0.272  0.000  0.815
I  0.403  0.000  0.208

Values from the calculation:
Energy above the most stable polymorph in this dataset   16 meV per atom



No. 10
Here is a geometry-optimized RbCd2I structure from Alexandria via LeMat-Bulk. Energies are from GGA-PBE.

Cell: 10.180 10.180 6.931 Å, 90.00 90.00 90.00°
Space group I-42d (No. 122)
Symmetry-distinct sites (fractional):
Rb  0.000  0.000  0.000
Cd  0.231  0.250  0.625
I  0.000  0.000  0.500

Values from the calculation:
Energy above the most stable polymorph in this dataset   0 meV per atom



No. 11
Here is a geometry-optimized Rb2Cd3I8 structure from Alexandria via LeMat-Bulk. Energies are from GGA-PBE.

Cell: 16.836 11.224 7.304 Å, 90.00 106.90 90.00°
Space group C2/m (No. 12)
Symmetry-distinct sites (fractional):
Rb  0.219  0.000  0.496
Cd  0.000  0.179  0.000
Cd  0.000  0.500  0.500
I  0.099  0.284  0.332
I  0.106  0.000  0.896
I  0.137  0.500  0.811

Values from the calculation:
Energy above the most stable polymorph in this dataset   0 meV per atom



No. 12
Here is a geometry-optimized RbCdI structure from Alexandria via LeMat-Bulk. Energies are from GGA-PBE.

Cell: 5.3167 5.3167 11.0754 Å, 90.00 90.00 120.00°
Space group P3m1 (No. 156)
Symmetry-distinct sites (fractional):
Rb  0.0000  0.0000  0.0000
Rb  0.3333  0.6667  0.3866
Cd  0.0000  0.0000  0.5904
Cd  0.6667  0.3333  0.6332
I  0.3333  0.6667  0.8128
I  0.6667  0.3333  0.2012

Values from the calculation:
Energy above the most stable polymorph in this dataset   0 meV per atom



No. 13
Here is a geometry-optimized Rb2Cd2I structure from Alexandria via LeMat-Bulk. Energies are from GGA-PBE.

Cell: 7.019 7.019 10.590 Å, 90.00 90.00 90.00°
Space group I4/mmm (No. 139)
Symmetry-distinct sites (fractional):
Rb  0.000  0.500  0.250
Cd  0.000  0.000  0.139
I  0.000  0.000  0.500

Values from the calculation:
Energy above the most stable polymorph in this dataset   101 meV per atom



No. 14
Here is a geometry-optimized Rb12Cd5I3 structure from Alexandria via LeMat-Bulk. Energies are from GGA-PBE.

Cell: 21.982 21.982 21.982 Å, 90.00 90.00 90.00°
Space group Ia-3d (No. 230)
Symmetry-distinct sites (fractional):
Rb  0.027  0.081  0.646
Cd  0.000  0.000  0.000
Cd  0.000  0.250  0.375
I  0.000  0.250  0.125

Values from the calculation:
E_tot   -1.298 eV/atom



No. 15
Here is a geometry-optimized RbCdI2 structure from Alexandria via LeMat-Bulk. Energies are from GGA-PBE.

Cell: 7.273 7.273 17.419 Å, 90.00 90.00 90.00°
Space group I-42d (No. 122)
Symmetry-distinct sites (fractional):
Rb  0.000  0.000  0.000
Cd  0.000  0.000  0.500
I  0.179  0.250  0.625

Values from the calculation:
Energy above the most stable polymorph in this dataset   0 meV per atom



No. 16
Here is a geometry-optimized RbCd2I2 structure from Alexandria via LeMat-Bulk. Energies are from GGA-PBE.

Cell: 9.939 9.939 5.785 Å, 90.00 90.00 90.00°
Space group P4/mbm (No. 127)
Symmetry-distinct sites (fractional):
Rb  0.000  0.000  0.000
Cd  0.101  0.399  0.500
I  0.190  0.310  0.000

Values from the calculation:
Energy above the most stable polymorph in this dataset   72 meV per atom



No. 17
Here is a geometry-optimized RbCd2I structure from Alexandria via LeMat-Bulk. Energies are from GGA-PBE.

Cell: 8.830 8.830 8.830 Å, 90.00 90.00 90.00°
Space group Fm-3m (No. 225)
Symmetry-distinct sites (fractional):
Rb  0.000  0.000  0.000
Cd  0.250  0.250  0.250
I  0.000  0.000  0.500

Values from the calculation:
Energy above the most stable polymorph in this dataset   65 meV per atom



No. 18
Here is a geometry-optimized Rb4CdI6 structure from Alexandria via LeMat-Bulk. Energies are from GGA-PBE.

Cell: 17.846 9.304 17.223 Å, 90.00 113.58 90.00°
Space group Cc (No. 9)
Symmetry-distinct sites (fractional):
Rb  0.000  0.136  0.000
Rb  0.145  0.348  0.474
Rb  0.268  0.209  0.828
Rb  0.428  0.163  0.176
Cd  0.209  0.258  0.235
I  0.045  0.297  0.211
I  0.097  0.301  0.877
I  0.221  0.016  0.136
I  0.288  0.486  0.191
I  0.298  0.179  0.408
I  0.462  0.261  0.995

Values from the calculation:
E_tot   -2.509 eV/atom



No. 19
Here is a geometry-optimized RbCdI structure from Alexandria via LeMat-Bulk. Energies are from GGA-PBE.

Cell: 5.770 6.075 10.162 Å, 102.04 97.43 111.53°
Space group P-1 (No. 2)
Symmetry-distinct sites (fractional):
Rb  0.244  0.099  0.316
Cd  0.226  0.721  0.957
I  0.403  0.288  0.697

Values from the calculation:
Energy above the most stable polymorph in this dataset   48 meV per atom